GGA-PBEsol CsAsI2O, relaxed; E above lowest polymorph = 1468 meV per atom; formation energy from raw total energies = 0.705 eV per atom
1.0
6.737 0.000 0.000
0.000 6.737 0.000
0.000 0.000 4.233
Cs As I O
1 1 2 1
Direct
0.000 0.000 0.000
0.500 0.500 0.500
0.000 0.500 0.000
0.500 0.000 0.000
0.000 0.000 0.500

GGA-PBEsol Sc2Ag2Sn, relaxed; ΔH_f (0 K) = -2.04 eV per formula unit
1.0
7.475 0.000 0.000
0.000 7.475 0.000
0.000 0.000 3.566
Sc Ag Sn
4 4 2
Direct
0.168 0.332 0.000
0.332 0.832 0.000
0.668 0.168 0.000
0.832 0.668 0.000
0.128 0.628 0.500
0.372 0.128 0.500
0.628 0.872 0.500
0.872 0.372 0.500
0.000 0.000 0.500
0.500 0.500 0.500